# 1
First-principles (PBE-GGA) data for an optimized crystal structure of Nd2Sm7Dy2, as listed in Alexandria via LeMat-Bulk.

a b c (Å): 6.3738 8.4345 15.0191
angles (deg): 92.99 97.10 110.45
With the nearest neighbours (Å) after each atom.
Atoms (fractional coordinates):
Nd 0.0273 0.2146 0.0191  1 Nd 3.52, 9 Sm 3.56-3.69, 2 Dy 3.63-3.67
Nd 0.2649 0.5255 0.4532  2 Dy 3.27-3.49, 1 Nd 3.33, 4 Sm 3.38-3.66
Nd 0.7351 0.4745 0.5468  2 Dy 3.27-3.49, 1 Nd 3.33, 4 Sm 3.38-3.66
Nd 0.9727 0.7854 0.9809  1 Nd 3.52, 9 Sm 3.56-3.69, 2 Dy 3.63-3.67
Sm 0.1103 0.4936 0.8413  2 Dy 3.43-3.63, 2 Nd 3.56-3.62, 7 Sm 3.57-3.77
Sm 0.2201 0.7833 0.6482  2 Nd 3.38-3.66, 4 Sm 3.46-3.74, 2 Dy 3.58-3.69
Sm 0.2605 0.0720 0.4533  3 Dy 3.58-3.91, 7 Sm 3.60-3.99, 2 Nd 3.73-3.82
Sm 0.3328 0.3606 0.2485  2 Nd 3.45-3.66, 2 Dy 3.48-3.53, 7 Sm 3.52-3.85
Sm 0.3949 0.8072 0.2913  1 Nd 3.46, 6 Sm 3.46-3.66, 4 Dy 3.49-3.69
Sm 0.4339 0.6461 0.0708  8 Sm 3.56-3.70, 1 Dy 3.63, 3 Nd 3.63-3.67
Sm 0.4908 0.0806 0.1134  7 Sm 3.52-3.74, 2 Dy 3.60-3.74, 3 Nd 3.63-3.69
Sm 0.5092 0.9194 0.8866  7 Sm 3.52-3.74, 2 Dy 3.60-3.74, 3 Nd 3.63-3.69
Sm 0.5661 0.3539 0.9292  8 Sm 3.56-3.70, 1 Dy 3.63, 3 Nd 3.63-3.67
Sm 0.6051 0.1928 0.7087  1 Nd 3.46, 6 Sm 3.46-3.66, 4 Dy 3.49-3.69
Sm 0.6672 0.6394 0.7515  2 Nd 3.45-3.66, 2 Dy 3.48-3.53, 7 Sm 3.52-3.85
Sm 0.7395 0.9280 0.5467  3 Dy 3.58-3.91, 7 Sm 3.60-3.99, 2 Nd 3.73-3.82
Sm 0.7799 0.2167 0.3518  2 Nd 3.38-3.66, 4 Sm 3.46-3.74, 2 Dy 3.58-3.69
Sm 0.8897 0.5064 0.1587  2 Dy 3.43-3.63, 2 Nd 3.56-3.62, 7 Sm 3.57-3.77
Dy 0.0568 0.0533 0.7942  1 Dy 3.41, 8 Sm 3.48-3.74, 2 Nd 3.63-3.67
Dy 0.1632 0.3313 0.6344  2 Nd 3.27-3.49, 1 Dy 3.41, 5 Sm 3.43-3.65
Dy 0.8368 0.6687 0.3656  2 Nd 3.27-3.49, 1 Dy 3.41, 5 Sm 3.43-3.65
Dy 0.9432 0.9467 0.2058  1 Dy 3.41, 8 Sm 3.48-3.74, 2 Nd 3.63-3.67

Output
As for the final energy: -102.18 eV/cell. Its magnetic moment is 0.00 μB/f.u. As for the distance to the lowest polymorph of the same formula: 0 meV/atom. The formation energy from the elements comes out at 0.062 eV/atom. The space-group type is P-1.

=====

# 2
First-principles (PBE-GGA) data for an optimized crystal structure of ScBiS2Cl, as listed in Alexandria via LeMat-Bulk.

a b c (Å): 5.3448 5.3448 5.1879
angles (deg): 90.00 90.00 90.00
With the nearest neighbours (Å) after each atom.
Atoms (fractional coordinates):
Sc 0.0000 0.0000 0.0000  8 S 3.72, 4 Cl 3.78
Bi 0.5000 0.5000 0.5000  2 Cl 2.59, 4 S 2.67
S 0.0000 0.5000 0.5000  2 Bi 2.67
S 0.5000 0.0000 0.5000  2 Bi 2.67
Cl 0.5000 0.5000 0.0000  2 Bi 2.59

Output
As for the final energy: -20.72 eV/cell. Its magnetic moment is 1.02 μB/f.u. The value obtained for the uncorrected formation energy is -0.08 eV per atom. As for the distance to the lowest polymorph of the same formula: 758 meV/atom. The space-group type is P4/mmm.

=====

# 3
First-principles (PBE-GGA) data for an optimized crystal structure of Sr2Se, as listed in Alexandria via LeMat-Bulk.

a b c (Å): 6.5257 6.5257 6.5257
angles (deg): 110.03 110.03 108.35
With the nearest neighbours (Å) after each atom.
Atoms (fractional coordinates):
Sr 0.1929 0.6929 0.8858  4 Se 3.32
Sr 0.3071 0.1929 0.5000  4 Se 3.32
Sr 0.6929 0.8071 0.5000  4 Se 3.32
Sr 0.8071 0.3071 0.1142  4 Se 3.32
Se 0.2500 0.2500 0.0000  8 Sr 3.32
Se 0.7500 0.7500 0.0000  8 Sr 3.32

Output
As for the final energy: -20.44 eV/cell. Its magnetic moment is 0.00 μB/f.u. The value obtained for the uncorrected formation energy is -1.12 eV per atom. The space-group type is I4/mcm.

=====

# 4
First-principles (PBE-GGA) data for an optimized crystal structure of DyTm4Pd2, as listed in Alexandria via LeMat-Bulk.

a b c (Å): 7.7756 6.2915 7.9996
angles (deg): 90.00 112.58 90.00
With the nearest neighbours (Å) after each atom.
Atoms (fractional coordinates):
Dy 0.1546 0.2500 0.0237  4 Pd 2.98-3.25
Dy 0.8454 0.7500 0.9763  4 Pd 2.98-3.25
Tm 0.0206 0.2500 0.3931  2 Pd 2.73-2.96
Tm 0.2475 0.7500 0.3480  2 Pd 2.76-2.84
Tm 0.4071 0.0033 0.7696  4 Pd 3.01-3.14, 2 Tm 3.10-3.19
Tm 0.4071 0.4967 0.7696  4 Pd 3.01-3.14, 2 Tm 3.10-3.19
Tm 0.5929 0.5033 0.2304  4 Pd 3.01-3.14, 2 Tm 3.10-3.19
Tm 0.5929 0.9967 0.2304  4 Pd 3.01-3.14, 2 Tm 3.10-3.19
Tm 0.7525 0.2500 0.6520  2 Pd 2.76-2.84
Tm 0.9794 0.7500 0.6069  2 Pd 2.73-2.96
Pd 0.2422 0.7500 0.9907  6 Tm 2.84-3.08, 1 Dy 3.04
Pd 0.3819 0.2500 0.4200  2 Tm 2.73-2.76, 1 Dy 2.98
Pd 0.6181 0.7500 0.5800  2 Tm 2.73-2.76, 1 Dy 2.98
Pd 0.7578 0.2500 0.0093  6 Tm 2.84-3.08, 1 Dy 3.04

Output
As for the final energy: -72.24 eV/cell. Its magnetic moment is 0.00 μB/f.u. As for the distance to the lowest polymorph of the same formula: 0 meV/atom. The formation energy from the elements comes out at -0.464 eV/atom. The space-group type is P2_1/m.

=====

# 5
First-principles (PBE-GGA) data for an optimized crystal structure of CsP4Pd4, as listed in Alexandria via LeMat-Bulk.

a b c (Å): 10.0163 10.0163 3.9622
angles (deg): 90.00 90.00 90.00
With the nearest neighbours (Å) after each atom.
Atoms (fractional coordinates):
Cs 0.2500 0.2500 0.2500  8 P 3.65-3.99, 4 Pd 3.75, 2 Cs 3.96
Cs 0.7500 0.7500 0.7500  8 P 3.65-3.99, 4 Pd 3.75, 2 Cs 3.96
P 0.0596 0.5857 0.9997  1 P 2.09, 1 Pd 2.34
P 0.0857 0.9404 0.4997  1 P 2.09, 1 Pd 2.34
P 0.4143 0.5596 0.4997  1 P 2.09, 1 Pd 2.34
P 0.4404 0.9143 0.9997  1 P 2.09, 1 Pd 2.34
P 0.5596 0.0857 0.0003  1 P 2.09, 1 Pd 2.34
P 0.5857 0.4404 0.5003  1 P 2.09, 1 Pd 2.34
P 0.9143 0.0596 0.5003  1 P 2.09, 1 Pd 2.34
P 0.9404 0.4143 0.0003  1 P 2.09, 1 Pd 2.34
Pd 0.1074 0.7008 0.4981  3 P 2.34-2.41
Pd 0.2008 0.8926 0.9981  3 P 2.34-2.41
Pd 0.2992 0.6074 0.9981  3 P 2.34-2.41
Pd 0.3926 0.7992 0.4981  3 P 2.34-2.41
Pd 0.6074 0.2008 0.5019  3 P 2.34-2.41
Pd 0.7008 0.3926 0.0019  3 P 2.34-2.41
Pd 0.7992 0.1074 0.0019  3 P 2.34-2.41
Pd 0.8926 0.2992 0.5019  3 P 2.34-2.41

Output
As for the final energy: -93.42 eV/cell. Its magnetic moment is 0.00 μB/f.u. The formation energy from the elements comes out at -0.383 eV/atom. The space-group type is P4_2/n.

=====

# 6
First-principles (PBE-GGA) data for an optimized crystal structure of La2TbTl, as listed in Alexandria via LeMat-Bulk.

a b c (Å): 5.6793 5.6793 5.6793
angles (deg): 60.00 60.00 60.00
With the nearest neighbours (Å) after each atom.
Atoms (fractional coordinates):
La 0.2500 0.2500 0.2500  4 Tl 3.48, 4 Tb 3.48
La 0.7500 0.7500 0.7500  4 Tl 3.48, 4 Tb 3.48
Tb 0.0000 0.0000 0.0000  8 La 3.48
Tl 0.5000 0.5000 0.5000  8 La 3.48

Output
As for the final energy: -17.22 eV/cell. Its magnetic moment is 1.02 μB/f.u. As for the distance to the lowest polymorph of the same formula: 121 meV/atom. The formation energy from the elements comes out at -0.093 eV/atom. The space-group type is Fm-3m.

=====

- magnetic moment of number 2 (ScBiS2Cl)?
  1.02 μB/f.u.

=====

- Number 2 is which compound?
  ScBiS2Cl

=====

- The highest final energy belongs to which entry?
  La2TbTl